CuAgMo2 | GGA-PBE | relaxed

Calculated values
DOS at the Fermi energy	1.147	states/eV per atom
relative energy among the computed polymorphs	159	meV per atom
E	-27.048	eV per formula unit
energy relative to the elements	0.390	eV per atom
size of the total moment	0.00	μB/cell

abc: 2.6664 2.6664 8.5780
angles: 90.00 90.00 89.80
With the nearest neighbours (Å) after each atom.
Fractional positions:
Mo 0.0000 0.0000 0.9812  4 Mo 2.67, 4 Cu 2.73-2.74, 4 Ag 2.98
Ag 0.5000 0.5000 0.2500  4 Ag 2.67, 8 Mo 2.98
Mo 0.0000 0.0000 0.5188  4 Mo 2.67, 4 Cu 2.73-2.74, 4 Ag 2.98
Cu 0.5000 0.5000 0.7500  4 Cu 2.67, 8 Mo 2.73-2.74



Be3ZnAs | GGA-PBE | relaxed

Calculated values
DOS at the Fermi energy	0.395	states/eV per atom
E	-12.729	eV per formula unit
energy relative to the elements	0.875	eV per atom
size of the total moment	0.00	μB/cell

abc: 4.1741 4.1741 4.1741
angles: 90.00 90.00 90.00
With the nearest neighbours (Å) after each atom.
Fractional positions:
Be 0.0000 0.0000 0.5000  2 Zn 2.09
Be 0.0000 0.5000 0.0000  2 Zn 2.09
Be 0.5000 0.0000 0.0000  2 Zn 2.09
As 0.5000 0.5000 0.5000  12 Be 2.95
Zn 0.0000 0.0000 0.0000  6 Be 2.09



MgPb7 | GGA-PBE | relaxed

Calculated values
DOS at the Fermi energy	0.650	states/eV per atom
E	-27.417	eV per formula unit
energy relative to the elements	0.017	eV per atom
size of the total moment	0.00	μB/cell

abc: 7.0089 7.0089 7.0089
angles: 60.00 60.00 60.00
With the nearest neighbours (Å) after each atom.
Fractional positions:
Pb 0.0000 0.5000 0.0000  10 Pb 3.50, 2 Mg 3.50
Pb 0.5000 0.5000 0.5000  12 Pb 3.50
Pb 0.5000 0.0000 0.0000  2 Mg 3.50, 10 Pb 3.50
Pb 0.0000 0.5000 0.5000  10 Pb 3.50, 2 Mg 3.50
Pb 0.5000 0.5000 0.0000  10 Pb 3.50, 2 Mg 3.50
Mg 0.0000 0.0000 0.0000  12 Pb 3.50
Pb 0.5000 0.0000 0.5000  10 Pb 3.50, 2 Mg 3.50
Pb 0.0000 0.0000 0.5000  10 Pb 3.50, 2 Mg 3.50



Sc2CoSe | GGA-PBE | relaxed

Calculated values
ΔE_f (raw)	-0.745	eV/atom
DOS at the Fermi energy	0.654	states/eV per atom
E	-26.233	eV per formula unit
size of the total moment	0.54	μB/cell

abc: 3.3066 3.2925 7.2790
angles: 63.09 90.00 90.00
With the nearest neighbours (Å) after each atom.
Fractional positions:
Se 0.5000 0.2500 0.2500  8 Sc 2.91, 2 Co 3.25
Sc 0.0000 0.4839 0.5173  4 Co 2.78, 4 Se 2.91, 1 Sc 3.02
Co 0.5000 0.7500 0.7500  8 Sc 2.78
Sc 0.0000 0.0161 0.9827  4 Co 2.78, 4 Se 2.91, 1 Sc 3.02



Repeat the first record exactly.
CuAgMo2 | GGA-PBE | relaxed

Calculated values
DOS at the Fermi energy	1.147	states/eV per atom
relative energy among the computed polymorphs	159	meV per atom
E	-27.048	eV per formula unit
energy relative to the elements	0.390	eV per atom
size of the total moment	0.00	μB/cell

abc: 2.6664 2.6664 8.5780
angles: 90.00 90.00 89.80
With the nearest neighbours (Å) after each atom.
Fractional positions:
Mo 0.0000 0.0000 0.9812  4 Mo 2.67, 4 Cu 2.73-2.74, 4 Ag 2.98
Ag 0.5000 0.5000 0.2500  4 Ag 2.67, 8 Mo 2.98
Mo 0.0000 0.0000 0.5188  4 Mo 2.67, 4 Cu 2.73-2.74, 4 Ag 2.98
Cu 0.5000 0.5000 0.7500  4 Cu 2.67, 8 Mo 2.73-2.74



- Which value of DOS at the Fermi energy does entry 4 give?
  0.654 states/eV per atom



Copy entry 4 word for word.
Sc2CoSe | GGA-PBE | relaxed

Calculated values
ΔE_f (raw)	-0.745	eV/atom
DOS at the Fermi energy	0.654	states/eV per atom
E	-26.233	eV per formula unit
size of the total moment	0.54	μB/cell

abc: 3.3066 3.2925 7.2790
angles: 63.09 90.00 90.00
With the nearest neighbours (Å) after each atom.
Fractional positions:
Se 0.5000 0.2500 0.2500  8 Sc 2.91, 2 Co 3.25
Sc 0.0000 0.4839 0.5173  4 Co 2.78, 4 Se 2.91, 1 Sc 3.02
Co 0.5000 0.7500 0.7500  8 Sc 2.78
Sc 0.0000 0.0161 0.9827  4 Co 2.78, 4 Se 2.91, 1 Sc 3.02